VASP calculation (PBE+U) on a relaxed Tc2MoF crystal.

Unit cell a=5.3558 b=5.3558 c=5.3558 alpha=103.70 beta=103.70 gamma=121.75
Fractional positions:
Tc  0.0796  0.1250  0.4546
Tc  0.3750  0.9204  0.0454
Tc  0.6704  0.6250  0.5454
Tc  0.8750  0.3296  0.9546
Mo  0.2500  0.7500  0.5000
Mo  0.5000  0.5000  0.0000
F  0.0000  0.0000  0.0000
F  0.7500  0.2500  0.5000

Values from the calculation:
Symmetry   I-42d
Polymorph energy (0 for the lowest one)   1.9 kJ per mole of atoms